Entry 1:
Computed, not measured: a relaxed structure of Al3GaHg at the GGA-PBE level of DFT.

The structure in extended XYZ format:
```
5
Lattice="-3.2890 3.2146 1.7709 -1.9278 0.5103 -4.5067 -3.1230 -3.7004 0.9169" Properties=species:S:1:pos:R:3 pbc="T T T"
Hg -4.1699 0.0122 -0.9095
Ga 0.0000 0.0000 0.0000
Al -0.9639 0.2551 -2.2534
Al -1.5615 -1.8502 0.4585
Al -1.6445 1.6073 0.8854
```

Summary:
The value obtained for the electronic total energy is -2.4089 eV per atom. Its excess energy over the best structure of this formula in the dataset is 0.000 eV per atom. The value obtained for the magnetization is 0.00 μB/f.u. The calculation puts the formation enthalpy at 0 K at 502 meV/atom.

---

Entry 2:
Computed, not measured: a relaxed structure of AlGaHg2 at the GGA-PBE level of DFT.

The structure in extended XYZ format:
```
4
Lattice="3.1201 0.0000 0.0000 1.5600 2.7020 0.0000 1.5600 0.9007 10.7159" Properties=species:S:1:pos:R:3 pbc="T T T"
Hg 1.5600 0.9007 7.9458
Hg 4.6801 2.7020 2.7700
Ga 3.1201 1.8014 5.3579
Al 0.0000 0.0000 0.0000
```

Summary:
The value obtained for the electronic total energy is -1.6772 eV per atom. Its excess energy over the best structure of this formula in the dataset is 0.019 eV per atom. The value obtained for the magnetization is 0.00 μB/f.u. The calculation puts the formation enthalpy at 0 K at 166 meV/atom.

---

Entry 3:
Computed, not measured: a relaxed structure of AlGaHg2 at the GGA-PBE level of DFT.

The structure in extended XYZ format:
```
4
Lattice="-3.6536 -1.7221 -0.9087 -0.1964 -3.1398 -2.6913 -0.5302 -5.7020 3.5066" Properties=species:S:1:pos:R:3 pbc="T T T"
Al -3.0979 -8.9377 1.1003
Ga -2.1874 -5.2968 -0.0296
Hg -0.7090 -4.7331 2.3893
Hg -1.1063 -2.5802 -0.0934
```

Summary:
The value obtained for the electronic total energy is -1.6964 eV per atom. Its excess energy over the best structure of this formula in the dataset is 0.000 eV per atom. The value obtained for the magnetization is 0.00 μB/f.u. The calculation puts the formation enthalpy at 0 K at 147 meV/atom.

---

Entry 4:
Computed, not measured: a relaxed structure of Al2GaHg2 at the GGA-PBE level of DFT.

The structure in extended XYZ format:
```
10
Lattice="-0.1708 1.6230 6.7493 -6.3297 -2.8081 0.5151 1.8120 -3.9038 0.9846" Properties=species:S:1:pos:R:3 pbc="T T T"
Hg -3.4031 -3.5645 2.0285
Hg -4.4250 -3.1685 5.4794
Hg -1.2854 -1.5243 6.2204
Hg -0.2635 -1.9204 2.7696
Ga 0.0000 0.0000 0.0000
Ga -3.2502 -0.5925 3.6322
Al -5.5243 -1.8342 2.8943
Al -4.1796 -0.3883 6.1525
Al -0.9762 0.6491 4.3701
Al -2.3209 -0.7968 1.1119
```

Summary:
The value obtained for the electronic total energy is -2.0830 eV per atom. Its excess energy over the best structure of this formula in the dataset is 0.000 eV per atom. The value obtained for the magnetization is 0.00 μB/f.u. The calculation puts the formation enthalpy at 0 K at 140 meV/atom.

---

Entry 5:
Computed, not measured: a relaxed structure of AlGaHg2 at the GGA-PBE level of DFT.

The structure in extended XYZ format:
```
4
Lattice="-2.8767 0.5322 1.6995 -1.4970 -2.4715 -1.7599 2.1708 -5.0598 5.2591" Properties=species:S:1:pos:R:3 pbc="T T T"
Hg 1.6445 -3.8329 3.9839
Hg 0.5264 -1.2269 1.2752
Ga -1.1014 -3.4996 2.5993
Al -2.1868 -0.9696 -0.0302
```

Summary:
The value obtained for the electronic total energy is -1.6866 eV per atom. Its excess energy over the best structure of this formula in the dataset is 0.010 eV per atom. The value obtained for the magnetization is 0.00 μB/f.u. The calculation puts the formation enthalpy at 0 K at 157 meV/atom.

---

Entry 6:
Computed, not measured: a relaxed structure of Al2GaHg2 at the GGA-PBE level of DFT.

The structure in extended XYZ format:
```
5
Lattice="-2.2813 3.3606 -1.3342 -3.5405 -2.3964 0.0177 -3.9700 2.0899 5.2026" Properties=species:S:1:pos:R:3 pbc="T T T"
Hg -4.5811 2.9663 1.6051
Hg -5.2107 0.0878 2.2810
Ga 0.0000 0.0000 0.0000
Al -3.1289 0.8131 0.5484
Al -6.6628 2.2410 3.3378
```

Summary:
The value obtained for the electronic total energy is -1.9943 eV per atom. Its excess energy over the best structure of this formula in the dataset is 0.089 eV per atom. The value obtained for the magnetization is 0.00 μB/f.u. The calculation puts the formation enthalpy at 0 K at 229 meV/atom.

---

Entry 7:
Computed, not measured: a relaxed structure of Al2GaHg at the GGA-PBE level of DFT.

The structure in extended XYZ format:
```
4
Lattice="4.1457 0.0000 0.0000 2.0728 3.5903 0.0000 2.0728 1.1968 5.6114" Properties=species:S:1:pos:R:3 pbc="T T T"
Al 2.0728 1.1968 4.4347
Al 2.0728 1.1968 1.1605
Ga 6.2185 3.5903 5.5668
Hg 4.1457 2.3935 2.8666
```

Summary:
The value obtained for the electronic total energy is -2.5524 eV per atom. Its excess energy over the best structure of this formula in the dataset is 0.020 eV per atom. The value obtained for the magnetization is 0.00 μB/f.u. The calculation puts the formation enthalpy at 0 K at 151 meV/atom.

---

Entry 8:
Computed, not measured: a relaxed structure of AlGa2Hg at the GGA-PBE level of DFT.

The structure in extended XYZ format:
```
4
Lattice="-2.8968 -0.6099 0.5049 -0.7861 -2.6010 1.2788 -0.5191 3.3234 9.9669" Properties=species:S:1:pos:R:3 pbc="T T T"
Hg 0.0000 0.0000 0.0000
Ga -0.7150 2.1088 7.3759
Ga -3.4870 -1.9963 4.3747
Al -2.1010 0.0562 5.8753
```

Summary:
The value obtained for the electronic total energy is -2.4584 eV per atom. Its excess energy over the best structure of this formula in the dataset is 0.000 eV per atom. The value obtained for the magnetization is 0.00 μB/f.u. The calculation puts the formation enthalpy at 0 K at 66 meV/atom.

---

Entry 9:
Computed, not measured: a relaxed structure of Al2Ga2Hg at the GGA-PBE level of DFT.

The structure in extended XYZ format:
```
10
Lattice="-0.2951 -6.6773 4.9479 -2.7602 -4.5912 -6.3606 2.6762 -0.6377 -0.7010" Properties=species:S:1:pos:R:3 pbc="T T T"
Hg 0.0000 0.0000 0.0000
Hg -1.5277 -5.6342 -0.7064
Ga -0.5108 -4.3437 -3.7476
Ga -1.1914 -8.5688 -2.5018
Ga 0.1318 -7.5626 1.6338
Ga 0.8123 -3.3374 0.3881
Al -2.4729 -6.3258 -3.6855
Al -2.0261 -8.6759 0.1578
Al -0.5825 -4.9427 2.2728
Al -1.0292 -2.5925 -1.5705
```

Summary:
The value obtained for the electronic total energy is -2.6893 eV per atom. Its excess energy over the best structure of this formula in the dataset is 0.000 eV per atom. The value obtained for the magnetization is 0.00 μB/f.u. The calculation puts the formation enthalpy at 0 K at 79 meV/atom.

---

Entry 10:
Computed, not measured: a relaxed structure of AlGaHg2 at the GGA-PBE level of DFT.

The structure in extended XYZ format:
```
8
Lattice="4.4911 0.0000 0.0000 0.0000 4.4911 0.0000 2.2455 2.2455 9.0342" Properties=species:S:1:pos:R:3 pbc="T T T"
Hg 3.3320 1.1228 2.2585
Hg 1.1591 3.3683 2.2585
Hg 3.3683 3.4047 6.7756
Hg 5.6139 5.5775 6.7756
Ga 0.0000 0.0000 0.0000
Ga 4.4911 2.2455 4.5171
Al 2.2455 2.2455 0.0000
Al 2.2455 4.4911 4.5171
```

Summary:
The value obtained for the electronic total energy is -1.6830 eV per atom. Its excess energy over the best structure of this formula in the dataset is 0.013 eV per atom. The value obtained for the magnetization is 0.00 μB/f.u. The calculation puts the formation enthalpy at 0 K at 160 meV/atom.

---

Entry 11:
Computed, not measured: a relaxed structure of Al3Ga12Hg5 at the GGA-PBE level of DFT.

The structure in extended XYZ format:
```
80
Lattice="13.5582 0.0000 0.0000 -4.5194 12.7828 0.0000 -4.5194 -6.3914 11.0702" Properties=species:S:1:pos:R:3 pbc="T T T"
Al 7.9089 3.9946 1.3838
Al 7.9089 8.7881 1.3838
Al -1.1298 5.5925 6.9189
Al 1.1298 -0.7989 4.1513
Al 10.1686 0.0000 2.7675
Al 1.1298 6.3914 2.7675
Al 3.3895 0.0000 8.3026
Al -5.6492 6.3914 8.3026
Al 3.3895 7.1903 6.9189
Al 5.6492 0.7989 4.1513
Al -3.3895 -2.3968 9.6864
Al -3.3895 2.3968 9.6864
Hg -1.1298 3.1957 2.7675
Hg -2.2597 6.3914 0.0000
Hg 0.0000 0.0000 0.0000
Hg 3.3895 2.3968 1.3838
Hg 4.5194 -3.1957 5.5351
Hg 4.5194 6.3914 0.0000
Hg -3.3895 7.1903 4.1513
Hg 5.6492 -3.9946 9.6864
Hg 5.6492 5.5925 4.1513
Hg 1.1298 -3.1957 8.3026
Hg 3.3895 9.5871 2.7675
Hg 2.2597 3.1957 5.5351
Hg 6.7791 0.0000 0.0000
Hg -2.2597 -3.1957 5.5351
Hg -1.1298 0.7989 6.9189
Hg -1.1298 10.3860 1.3838
Hg -4.5194 3.1957 5.5351
Hg 7.9089 -0.7989 6.9189
Hg 1.1298 3.9946 9.6864
Hg 5.6492 3.1957 8.3026
Ga 9.0364 1.3543 0.8164
Ga 0.0024 4.5799 4.7704
Ga 9.7630 2.8955 2.8929
Ga 6.0548 2.1382 1.5811
Ga 1.7352 5.1926 7.3609
Ga 9.2410 6.2202 1.8258
Ga -0.7243 7.1487 4.4740
Ga -3.7951 10.6446 1.5811
Ga 0.5244 7.5902 7.3609
Ga 6.5769 6.5625 1.8258
Ga 6.7815 3.1658 3.9540
Ga 6.7815 11.4284 0.8164
Ga -3.9949 5.7753 6.3515
Ga 2.4619 4.8958 1.0611
Ga -4.5218 9.6169 3.9540
Ga 2.2621 -1.8115 6.2998
Ga -0.5244 0.5828 2.6422
Ga 2.4619 8.0582 0.7647
Ga 6.0548 9.8873 2.8929
Ga -0.2022 4.7246 0.7647
Ga -2.7841 6.9742 8.4279
Ga 2.9840 5.6340 4.4740
Ga 6.2546 7.0074 6.3515
Ga 4.7216 -1.4956 10.0090
Ga 1.5354 0.7573 6.5962
Ga -1.7352 -0.6161 4.7187
Ga -0.2022 7.8870 1.0611
Ga -1.5354 -3.4959 8.1773
Ga 7.3035 -0.5828 2.6422
Ga 4.7216 1.6668 10.3055
Ga 2.0575 -1.6668 10.3055
Ga 2.2573 8.2029 4.7704
Ga 5.0438 5.8086 8.4279
Ga 9.0412 -3.2256 7.1162
Ga 8.5143 0.6161 4.7187
Ga -2.2621 -5.0370 10.2538
Ga 2.0575 1.4956 10.0090
Ga 3.9949 -1.1988 3.7093
Ga -2.0575 -0.1712 9.2444
Ga -2.2621 3.2256 7.1162
Ga 8.3145 -4.2532 9.4891
Ga 5.2436 -0.7573 6.5962
Ga -1.5354 4.2532 9.4891
Ga -4.7216 0.1712 9.2444
Ga 2.7841 1.1988 3.7093
Ga -5.2436 3.4959 8.1773
Ga 4.5170 1.8115 6.2998
Ga -4.5170 5.0370 10.2538
```

Summary:
The value obtained for the electronic total energy is -2.2967 eV per atom. The value obtained for the magnetization is 0.00 μB/f.u. The calculation puts the formation enthalpy at 0 K at 156 meV/atom.

---

Entry 12:
Computed, not measured: a relaxed structure of Al2GaHg at the GGA-PBE level of DFT.

The structure in extended XYZ format:
```
8
Lattice="4.3057 0.0000 0.0000 0.0000 4.3057 0.0000 2.1528 2.1528 8.8953" Properties=species:S:1:pos:R:3 pbc="T T T"
Hg 0.0000 0.0000 0.0000
Hg 4.3057 2.1528 4.4477
Ga 2.1528 2.1528 0.0000
Ga 2.1528 4.3057 4.4477
Al 3.1609 1.0764 2.2238
Al 1.1448 3.2292 2.2238
Al 3.2292 3.2976 6.6715
Al 5.3821 5.3137 6.6715
```

Summary:
The value obtained for the electronic total energy is -2.5367 eV per atom. Its excess energy over the best structure of this formula in the dataset is 0.036 eV per atom. The value obtained for the magnetization is 0.00 μB/f.u. The calculation puts the formation enthalpy at 0 K at 167 meV/atom.

---

Number 1: density 4.87 g/cm³. Number 2: density 9.15 g/cm³. Number 3: density 8.88 g/cm³. Number 4: density 8.19 g/cm³. Number 5: density 9.49 g/cm³. Number 6: density 7.73 g/cm³. Number 7: density 6.45 g/cm³. Number 8: density 7.52 g/cm³. Number 9: density 6.66 g/cm³. Number 10: density 9.07 g/cm³. Number 11: density 6.65 g/cm³. Number 12: density 6.53 g/cm³.